Record 1
DFT (PBE) results for a relaxed CeTm4Rh5 crystal.

```
CeTm4Rh5
1.0
3.372 0.000 0.000
0.000 3.372 0.000
0.000 0.000 17.292
Ce Tm Rh
1 4 5
direct
0.000 0.000 0.000
0.000 0.000 0.204
0.000 0.000 0.401
0.000 0.000 0.599
0.000 0.000 0.796
0.500 0.500 0.105
0.500 0.500 0.303
0.500 0.500 0.500
0.500 0.500 0.697
0.500 0.500 0.895
```

Results
Electronic total energy ... -69.59 eV for the cell shown
DOS(E_F) ... 7.43 states/eV per cell

=====

Record 2
DFT (PBE) results for a relaxed CeTmRh crystal.

```
CeTmRh
1.0
12.056 0.000 0.000
0.000 3.590 0.000
-4.614 0.000 6.738
Ce Tm Rh
4 4 4
direct
0.107 0.000 0.405
0.393 0.500 0.595
0.607 0.500 0.405
0.893 0.000 0.595
0.164 0.500 0.070
0.336 0.000 0.930
0.664 0.000 0.070
0.836 0.500 0.930
0.125 0.500 0.697
0.375 0.000 0.303
0.625 0.000 0.697
0.875 0.500 0.303
```

Results
Excess energy over the best structure of this formula in the dataset ... 0.0 meV per atom
Electronic total energy ... -77.84 eV for the cell shown
DOS(E_F) ... 18.79 states/eV per cell

=====

Record 3
DFT (PBE) results for a relaxed CeTm2Rh2 crystal.

```
CeTm2Rh2
1.0
5.560 0.000 0.000
0.000 4.268 0.000
-1.268 0.000 10.241
Ce Tm Rh
2 4 4
direct
0.093 0.250 0.288
0.907 0.750 0.712
0.252 0.250 0.967
0.387 0.250 0.618
0.613 0.750 0.382
0.748 0.750 0.033
0.158 0.750 0.464
0.264 0.750 0.144
0.736 0.250 0.856
0.842 0.250 0.536
```

Results
Electronic total energy ... -66.05 eV for the cell shown
DOS(E_F) ... 12.00 states/eV per cell

=====

Record 4
DFT (PBE) results for a relaxed CeTmRh crystal.

```
CeTmRh
1.0
3.461 0.000 0.000
0.000 3.461 0.000
0.000 0.000 12.166
Ce Tm Rh
2 2 2
direct
0.000 0.000 0.000
0.500 0.500 0.500
0.000 0.000 0.273
0.500 0.500 0.773
0.000 0.000 0.641
0.500 0.500 0.141
```

Results
Excess energy over the best structure of this formula in the dataset ... 69.9 meV per atom
Electronic total energy ... -38.50 eV for the cell shown
DOS(E_F) ... 8.81 states/eV per cell

=====

Number 1: ΔE_f -901 meV/atom. Number 2: ΔE_f -567 meV/atom. Number 3: ΔE_f -689 meV/atom. Number 4: ΔE_f -498 meV/atom.